# Pb2WSe

Crystalline Pb2WSe at its relaxed geometry (PBE, the Alexandria database).

Output
Fermi-level density of states ... 2.8 states/eV per cell
Calculated density ... 10829 kg/m3
E_form (uncorrected) ... 0.362 eV per atom
VASP energy ... -5.602 eV per atom

a = 5.629 Å, b = 5.629 Å, c = 6.499 Å
α = 68.03°, β = 68.03°, γ = 33.21°
Positions (direct):
W: 0.193 0.193 0.158
Pb: 0.931 0.931 0.135
Se: 0.596 0.596 0.472
Pb: 0.780 0.780 0.734

---

# SrCa2Cu

Crystalline SrCa2Cu at its relaxed geometry (PBE, the Alexandria database).

Output
Energy of formation ... 268 meV/atom
E above lowest polymorph ... 314 meV per atom
Fermi-level density of states ... 6.0 states/eV per cell
Calculated density ... 2950 kg/m3
VASP energy ... -2.177 eV per atom

a = 5.689 Å, b = 5.689 Å, c = 5.689 Å
α = 60.00°, β = 60.00°, γ = 60.00°
Positions (direct):
Cu: 0.000 0.000 0.000
Ca: 0.250 0.250 0.250
Sr: 0.500 0.500 0.500
Ca: 0.750 0.750 0.750

---

# BiWCl3

Crystalline BiWCl3 at its relaxed geometry (PBE, the Alexandria database).

Output
E above lowest polymorph ... 0 meV per atom
Fermi-level density of states ... 5.4 states/eV per cell
Calculated density ... 6920 kg/m3
E_form (uncorrected) ... 0.363 eV per atom
VASP energy ... -4.112 eV per atom

a = 4.930 Å, b = 4.930 Å, c = 4.930 Å
α = 90.00°, β = 90.00°, γ = 90.00°
Positions (direct):
Cl: 0.000 0.500 0.000
Bi: 0.500 0.500 0.500
Cl: 0.500 0.000 0.000
Cl: 0.000 0.000 0.500
W: 0.000 0.000 0.000

---

# Pr2GaSn4Pt3

Crystalline Pr2GaSn4Pt3 at its relaxed geometry (PBE, the Alexandria database).

Output
Energy of formation ... -758 meV/atom
Fermi-level density of states ... 4.7 states/eV per cell
Calculated density ... 10143 kg/m3
VASP energy ... -5.430 eV per atom

a = 4.556 Å, b = 4.556 Å, c = 11.135 Å
α = 90.00°, β = 90.00°, γ = 90.00°
Positions (direct):
Sn: 0.000 0.000 0.000
Pt: 0.000 0.000 0.500
Pr: 0.500 0.000 0.256
Pr: 0.000 0.500 0.744
Pt: 0.500 0.000 0.870
Sn: 0.500 0.000 0.636
Pt: 0.000 0.500 0.130
Ga: 0.500 0.500 0.500
Sn: 0.500 0.500 0.000
Sn: 0.000 0.500 0.364

---

# Rb2ZrPdSe4

Crystalline Rb2ZrPdSe4 at its relaxed geometry (PBE, the Alexandria database).

Output
Fermi-level density of states ... 11.4 states/eV per cell
Calculated density ... 4066 kg/m3
E_form (uncorrected) ... -0.961 eV per atom
VASP energy ... -4.663 eV per atom

a = 6.211 Å, b = 7.759 Å, c = 13.032 Å
α = 84.53°, β = 76.21°, γ = 66.41°
Positions (direct):
Se: 0.299 0.794 0.109
Rb: 0.820 0.000 0.359
Pd: 0.250 0.500 0.500
Rb: 0.180 0.000 0.641
Zr: 0.000 0.000 0.000
Se: 0.592 0.206 0.109
Rb: 0.570 0.500 0.859
Se: 0.547 0.294 0.609
Se: 0.158 0.294 0.391
Zr: 0.750 0.500 0.500
Pd: 0.500 0.000 0.000
Se: 0.843 0.706 0.609
Se: 0.203 0.206 0.891
Rb: 0.930 0.500 0.141
Se: 0.451 0.706 0.391
Se: 0.907 0.794 0.891

---

# PrHfZrIr2

Crystalline PrHfZrIr2 at its relaxed geometry (PBE, the Alexandria database).

Output
Energy of formation ... -783 meV/atom
Fermi-level density of states ... 4.1 states/eV per cell
Calculated density ... 11650 kg/m3
VASP energy ... -8.983 eV per atom

a = 4.529 Å, b = 4.529 Å, c = 6.387 Å
α = 110.77°, β = 110.77°, γ = 90.00°
Positions (direct):
Pr: 0.000 0.000 0.000
Zr: 0.250 0.750 0.500
Hf: 0.750 0.250 0.500
Ir: 0.382 0.382 0.764
Ir: 0.618 0.618 0.236